(1)
A geometry-optimized AsS24I3 structure, computed with GGA-PBE.

Unit cell a=26.1630 b=26.1630 c=5.1138 alpha=90.00 beta=90.00 gamma=120.00
Closest atoms and distances in Å follow each position.
Space group R3m (No. 160, hexagonal axes)
Unique sites:
As1 0.0000 0.0000 0.0000 (multiplicity 3)  3 I 2.60
S1 0.0395 0.4288 0.8489 (multiplicity 18)  2 S 2.06
S2 0.0442 0.2170 0.3503 (multiplicity 18)  2 S 2.06
S3 0.0944 0.1888 0.1529 (multiplicity 9)  2 S 2.06
S4 0.1184 0.3654 0.3911 (multiplicity 18)  2 S 2.06
S5 0.1995 0.3989 0.2111 (multiplicity 9)  2 S 2.06
I1 0.1030 0.0515 0.7759 (multiplicity 9)  1 As 2.60

* crystal system: trigonal
* D(E_F): 0.00 states/eV/f.u.
* V: 3031 Å³/cell
* formation energy from raw total energies: -2.1 kJ per mole of atoms

(2)
A geometry-optimized As2SI structure, computed with GGA-PBE.

Unit cell a=7.0174 b=7.0174 c=7.0174 alpha=90.00 beta=90.00 gamma=90.00
Closest atoms and distances in Å follow each position.
Space group Fm-3m (No. 225)
Unique sites:
As1 0.2500 0.2500 0.2500 (multiplicity 8)  4 S 3.04, 4 I 3.04
S1 0.0000 0.0000 0.0000 (multiplicity 4)  8 As 3.04
I1 0.0000 0.0000 0.5000 (multiplicity 4)  8 As 3.04

* crystal system: cubic
* offset from the most stable computed form: 0.292 eV per atom
* D(E_F): 3.10 states/eV/f.u.
* V: 346 Å³/cell
* formation energy from raw total energies: 71.5 kJ per mole of atoms

(3)
A geometry-optimized As3SI structure, computed with GGA-PBE.

Unit cell a=4.9441 b=4.9441 c=4.9441 alpha=90.00 beta=90.00 gamma=90.00
Closest atoms and distances in Å follow each position.
Space group Pm-3m (No. 221)
Unique sites:
As1 0.0000 0.0000 0.5000 (multiplicity 3)  2 S 2.47
S1 0.0000 0.0000 0.0000 (multiplicity 1)  6 As 2.47
I1 0.5000 0.5000 0.5000 (multiplicity 1)  12 As 3.50

* crystal system: cubic
* offset from the most stable computed form: 0.000 eV per atom
* D(E_F): 4.29 states/eV/f.u.
* V: 121 Å³/cell
* formation energy from raw total energies: 75.6 kJ per mole of atoms

(4)
A geometry-optimized As3SI7 structure, computed with GGA-PBE.

Unit cell a=14.2932 b=8.1615 c=10.2039 alpha=90.00 beta=133.43 gamma=90.00
Closest atoms and distances in Å follow each position.
Space group Cm (No. 8)
Unique sites:
As1 0.0000 0.0000 0.0000 (multiplicity 2)  1 S 2.59, 2 I 2.71
As2 0.2478 0.2731 0.9653 (multiplicity 4)  1 S 2.45, 1 I 2.69
S1 0.4006 0.5000 0.1375 (multiplicity 2)  3 As 2.45-2.59
I1 0.0342 0.0000 0.7424 (multiplicity 2)  3 As 2.99-3.15
I2 0.0380 0.5000 0.7393 (multiplicity 2)  2 As 2.87
I3 0.1729 0.2438 0.2088 (multiplicity 4)  1 As 2.71
I4 0.2796 0.2492 0.7350 (multiplicity 4)  1 As 2.69
I5 0.4242 0.0000 0.1970 (multiplicity 2)  2 As 2.95

* crystal system: monoclinic
* V: 864 Å³/cell
* formation energy from raw total energies: -13.7 kJ per mole of atoms